Computed, not measured: a relaxed structure of VCuO2 at the PBE with a Hubbard U level of DFT.

a b c (Å): 2.7914 2.7914 6.1454
angles (deg): 90.00 90.00 120.00
Fractional coordinates of all 4 atoms:
V: 0.0000 0.0000 0.0000
Cu: 0.6667 0.3333 0.5000
O: 0.6667 0.3333 0.1956
O: 0.6667 0.3333 0.8044

Summary:
The total energy is -26.52 eV per cell. The symmetry is P-6m2 (187).